Record 1
HgMoAs (GGA-PBE, relaxed); energy of formation = 1.181 eV/f.u.
1.0
4.2602 0.0000 0.0000
-2.1301 3.6894 0.0000
0.0000 0.0000 3.6988
Hg Mo As
1 1 1
Direct
0.0000 0.0000 0.0000 Hg
0.6667 0.3333 0.5000 Mo
0.3333 0.6667 0.5000 As

=====

Record 2
HgMo2As (GGA-PBE, relaxed); energy of formation = 1.678 eV/f.u.
1.0
3.1762 0.0000 0.0000
0.0000 3.9389 0.0000
-1.5383 0.0000 5.7607
Hg Mo As
1 2 1
Direct
0.0000 0.0000 0.0000 Hg
0.4367 0.5000 0.6953 Mo
0.5633 0.5000 0.3047 Mo
0.0000 0.0000 0.5000 As

=====

Record 3
HgMo2As (GGA-PBE, relaxed); energy of formation = 0.836 eV/f.u.
1.0
3.2020 0.0000 0.0000
0.0000 3.2020 0.0000
0.0000 0.0000 7.1654
Hg Mo As
1 2 1
Direct
0.0000 0.0000 0.0000 Hg
0.0000 0.0000 0.4784 Mo
0.5000 0.5000 0.2748 Mo
0.5000 0.5000 0.6724 As

=====

Record 4
HgMo2As (GGA-PBE, relaxed); energy of formation = 1.743 eV/f.u.
1.0
4.5814 -1.6002 0.0000
4.5814 1.6002 0.0000
-0.9345 0.0000 5.0207
Hg Mo As
1 2 1
Direct
0.0000 0.0000 0.0000 Hg
0.4726 0.4726 0.4734 Mo
0.7554 0.7554 0.3010 Mo
0.2261 0.2261 0.6859 As